Entry 1:
Entry from Alexandria via LeMat-Bulk: a relaxed MgNiP2O7 crystal (GGA-PBEsol).

Results
Formation energy without anion corrections: -2.089 eV per atom
Total energy: -316.7 eV per cell
ρ: 3.62 Mg/m³

a = 6.9388 Å, b = 8.2807 Å, c = 9.0031 Å
α = 90.00°, β = 114.34°, γ = 90.00°
Fractional positions:
1 Mg 0.1967 0.0560 0.3240
2 Mg 0.1967 0.4440 0.8240
3 Mg 0.8033 0.5560 0.1760
4 Mg 0.8033 0.9440 0.6760
5 Ni 0.2719 0.0767 0.8900
6 Ni 0.2719 0.4233 0.3900
7 Ni 0.7281 0.5767 0.6100
8 Ni 0.7281 0.9233 0.1100
9 P 0.0258 0.7284 0.9655
10 P 0.0258 0.7716 0.4655
11 P 0.4426 0.7291 0.2606
12 P 0.4426 0.7709 0.7606
13 P 0.5574 0.2291 0.2394
14 P 0.5574 0.2709 0.7394
15 P 0.9742 0.2284 0.5345
16 P 0.9742 0.2716 0.0345
17 O 0.0246 0.0904 0.6588
18 O 0.0246 0.4096 0.1588
19 O 0.0512 0.6078 0.3971
20 O 0.0512 0.8922 0.8971
21 O 0.1291 0.2351 0.4524
22 O 0.1291 0.2649 0.9524
23 O 0.2472 0.6689 0.0994
24 O 0.2472 0.8311 0.5994
25 O 0.3777 0.2373 0.2972
26 O 0.3777 0.2627 0.7972
27 O 0.3912 0.6140 0.8196
28 O 0.3912 0.8860 0.3196
29 O 0.4809 0.5882 0.3813
30 O 0.4809 0.9118 0.8813
31 O 0.5191 0.0882 0.1187
32 O 0.5191 0.4118 0.6187
33 O 0.6088 0.1140 0.6804
34 O 0.6088 0.3860 0.1804
35 O 0.6223 0.7373 0.2028
36 O 0.6223 0.7627 0.7028
37 O 0.7528 0.1689 0.4006
38 O 0.7528 0.3311 0.9006
39 O 0.8709 0.7351 0.0476
40 O 0.8709 0.7649 0.5476
41 O 0.9488 0.1078 0.1029
42 O 0.9488 0.3922 0.6029
43 O 0.9754 0.5904 0.8412
44 O 0.9754 0.9096 0.3412


Entry 2:
Entry from Alexandria via LeMat-Bulk: a relaxed SiPAu2 crystal (GGA-PBEsol).

Results
Formation energy without anion corrections: 0.127 eV per atom
Total energy: -18.9 eV per cell
ρ: 11.07 Mg/m³
Excess energy over the best structure of this formula in the dataset: 0.000 eV/atom

a = 6.2937 Å, b = 6.2937 Å, c = 6.2937 Å
α = 33.59°, β = 33.59°, γ = 33.59°
Fractional positions:
1 Si 0.0000 0.0000 0.0000
2 P 0.5000 0.5000 0.5000
3 Au 0.2513 0.2513 0.2513
4 Au 0.7487 0.7487 0.7487


Entry 3:
Entry from Alexandria via LeMat-Bulk: a relaxed LaMn2Ni crystal (GGA-PBEsol).

Results
Total energy: -29.3 eV per cell
ρ: 7.86 Mg/m³
Formation enthalpy at 0 K: 0.421 eV per atom

a = 3.9057 Å, b = 3.9057 Å, c = 4.2570 Å
α = 90.00°, β = 90.00°, γ = 90.00°
Fractional positions:
1 La 0.0000 0.0000 0.0000
2 Mn 0.0000 0.5000 0.5000
3 Mn 0.5000 0.0000 0.5000
4 Ni 0.5000 0.5000 0.0000


Entry 4:
Entry from Alexandria via LeMat-Bulk: a relaxed HgPb2Cl crystal (GGA-PBEsol).

Results
Formation energy without anion corrections: -0.129 eV per atom
Total energy: -11.1 eV per cell
ρ: 10.49 Mg/m³
Excess energy over the best structure of this formula in the dataset: 0.131 eV/atom

a = 5.2606 Å, b = 5.2606 Å, c = 5.2606 Å
α = 60.00°, β = 60.00°, γ = 60.00°
Fractional positions:
1 Hg 0.0000 0.0000 0.0000
2 Pb 0.2500 0.2500 0.2500
3 Pb 0.5000 0.5000 0.5000
4 Cl 0.7500 0.7500 0.7500


Entry 5:
Entry from Alexandria via LeMat-Bulk: a relaxed ReP2RuS crystal (GGA-PBEsol).

Results
Formation energy without anion corrections: 1.393 eV per atom
Total energy: -32.5 eV per cell
ρ: 8.33 Mg/m³

a = 4.2441 Å, b = 4.2441 Å, c = 4.2178 Å
α = 90.00°, β = 90.00°, γ = 90.00°
Fractional positions:
1 Re 0.0000 0.0000 0.0000
2 P 0.0000 0.5000 0.5000
3 P 0.5000 0.0000 0.5000
4 Ru 0.5000 0.5000 0.0000
5 S 0.5000 0.5000 0.5000


Entry 6:
Entry from Alexandria via LeMat-Bulk: a relaxed RbBeP2Ru crystal (GGA-PBEsol).

Results
Total energy: -22.6 eV per cell
ρ: 4.94 Mg/m³
Formation enthalpy at 0 K: 0.845 eV per atom

a = 4.4573 Å, b = 4.4573 Å, c = 4.3580 Å
α = 90.00°, β = 90.00°, γ = 90.00°
Fractional positions:
1 Rb 0.0000 0.0000 0.0000
2 Be 0.5000 0.5000 0.5000
3 P 0.0000 0.5000 0.5000
4 P 0.5000 0.0000 0.5000
5 Ru 0.5000 0.5000 0.0000